10
Lattice="9.098 -2.663 0.000 9.098 2.663 0.000 -2.683 0.000 6.456" Properties=species:S:1:pos:R:3 comment="Nd7Tl3, optimized geometry, DFT GGA-PBE" energy_ev_per_cell=-42.799 e_above_lowest_polymorph_mev_per_atom=0 sg="C2/m (12)" total_magnetization_mub_per_cell=0.0 formation_energy_kj_per_mol_atoms=-22 pbc="T T T"
Nd 0.000 0.000 0.000
Nd 1.826 0.000 4.552
Nd 6.819 0.000 1.028
Nd 5.531 0.000 4.111
Nd 9.981 0.000 2.345
Nd 8.694 0.000 5.428
Nd 13.686 0.000 1.904
Tl -1.341 0.000 3.228
Tl 3.007 0.000 1.255
Tl 12.505 0.000 5.200

---

14
Lattice="8.157 -2.982 0.000 8.157 2.982 0.000 -1.315 0.000 9.167" Properties=species:S:1:pos:R:3 comment="Nd5Tl2, optimized geometry, DFT GGA-PBE" energy_ev_per_cell=-60.098 sg="C2/c (15)" total_magnetization_mub_per_cell=0.0 formation_energy_kj_per_mol_atoms=-20 pbc="T T T"
Nd 6.009 1.733 0.425
Nd 3.585 0.916 6.235
Nd 7.171 1.659 6.875
Nd 9.648 1.733 4.159
Nd 4.242 -0.916 1.652
Nd 10.757 0.916 7.516
Nd 5.352 -1.733 5.008
Nd 7.829 -1.659 2.292
Nd 11.415 -0.916 2.932
Nd 8.990 -1.733 8.743
Tl 6.320 1.171 3.683
Tl 9.337 1.171 0.901
Tl 5.662 -1.171 8.266
Tl 8.680 -1.171 5.484

---

16
Lattice="9.174 0.000 0.000 0.000 10.074 0.000 0.000 0.000 5.056" Properties=species:S:1:pos:R:3 comment="Nd3Tl5, optimized geometry, DFT GGA-PBE" energy_ev_per_cell=-57.592 e_above_lowest_polymorph_mev_per_atom=39 sg="Cmmm (65)" total_magnetization_mub_per_cell=0.0 formation_energy_kj_per_mol_atoms=-32 pbc="T T T"
Nd 0.000 0.000 0.000
Nd 0.000 2.820 2.528
Nd 0.000 7.254 2.528
Nd 4.587 2.217 2.528
Nd 4.587 5.037 0.000
Nd 4.587 7.856 2.528
Tl 0.000 5.037 0.000
Tl 2.093 0.000 2.528
Tl 2.293 2.518 0.000
Tl 2.293 7.555 0.000
Tl 2.494 5.037 2.528
Tl 4.587 0.000 0.000
Tl 6.680 5.037 2.528
Tl 6.880 2.518 0.000
Tl 6.880 7.555 0.000
Tl 7.081 0.000 2.528

---

18
Lattice="9.688 0.000 0.000 -4.844 8.390 0.000 0.000 0.000 6.801" Properties=species:S:1:pos:R:3 comment="Nd5Tl4, optimized geometry, DFT GGA-PBE" energy_ev_per_cell=-72.982 sg="P6_3/mcm (193)" total_magnetization_mub_per_cell=0.0 formation_energy_kj_per_mol_atoms=-34 pbc="T T T"
Nd -1.411 2.443 1.700
Nd -3.433 5.947 5.101
Nd 2.821 0.000 1.700
Nd 1.411 2.443 5.101
Nd 0.000 5.593 0.000
Nd 0.000 5.593 3.401
Nd 4.844 2.797 0.000
Nd 4.844 2.797 3.401
Nd 6.866 0.000 5.101
Nd 3.433 5.947 1.700
Tl 0.000 0.000 0.000
Tl 0.000 0.000 3.401
Tl -1.793 3.106 5.101
Tl -3.050 5.284 1.700
Tl 3.587 0.000 5.101
Tl 1.793 3.106 1.700
Tl 6.101 0.000 1.700
Tl 3.050 5.284 5.101

---

12
Lattice="4.652 0.000 0.000 0.000 14.963 0.000 0.000 0.000 5.028" Properties=species:S:1:pos:R:3 comment="NdTl5, optimized geometry, DFT GGA-PBE" energy_ev_per_cell=-34.680 sg="Cmmm (65)" total_magnetization_mub_per_cell=0.0 formation_energy_kj_per_mol_atoms=-12 pbc="T T T"
Nd 0.000 0.000 0.000
Nd 2.326 7.482 0.000
Tl 0.000 2.495 2.514
Tl 0.000 4.936 0.000
Tl 0.000 7.482 2.514
Tl 0.000 10.027 0.000
Tl 0.000 12.468 2.514
Tl 2.326 0.000 2.514
Tl 2.326 2.545 0.000
Tl 2.326 4.987 2.514
Tl 2.326 9.977 2.514
Tl 2.326 12.418 0.000

---

14
Lattice="-4.760 4.760 4.760 4.760 -4.760 4.760 4.760 4.760 -4.760" Properties=species:S:1:pos:R:3 comment="Nd3Tl4, optimized geometry, DFT GGA-PBE" energy_ev_per_cell=-51.800 e_above_lowest_polymorph_mev_per_atom=72 sg="I-43d (220)" total_magnetization_mub_per_cell=0.0 formation_energy_kj_per_mol_atoms=-29 pbc="T T T"
Nd 7.140 1.190 0.000
Nd 3.570 0.000 2.380
Nd 2.380 3.570 0.000
Nd 0.000 2.380 3.570
Nd 1.190 0.000 7.140
Nd 0.000 7.140 1.190
Tl 3.972 0.788 -0.788
Tl 6.352 -1.592 1.592
Tl 0.788 0.788 0.788
Tl 0.788 -0.788 3.972
Tl -0.788 3.972 0.788
Tl 1.592 6.352 -1.592
Tl 3.168 3.168 3.168
Tl -1.592 1.592 6.352